This record from Alexandria describes DyHo3 after structural relaxation. The functional is GGA-PBEsol.

a = 7.0362 Å, b = 7.0362 Å, c = 5.5016 Å
α = 90.00°, β = 90.00°, γ = 120.00°
Last column: nearest neighbours and their distance in Å.
Space group P6_3/mmc (No. 194)
Inequivalent atoms, fractional coordinates:
Dy1 0.3333 0.6667 0.2500 [2 per cell]  12 Ho 3.42-3.52
Ho1 0.1666 0.3331 0.7500 [6 per cell]  8 Ho 3.42-3.52, 4 Dy 3.42-3.52

ΔE_f = 0.0125 eV/atom
Volume = 235.9 Å³ per cell
Crystal system = hexagonal
N(E_F) = 13.570 states/eV per cell
Energy above the lowest structure with this stoichiometry = 0 meV/atom
Total moment = 0.0 μB per formula unit

=====

This record from Alexandria describes Ho2V2O7 after structural relaxation. The functional is GGA-PBEsol.

a = 9.9159 Å, b = 9.9159 Å, c = 9.9159 Å
α = 90.00°, β = 90.00°, γ = 90.00°
Last column: nearest neighbours and their distance in Å.
Space group Fd-3m (No. 227, origin choice 2)
Inequivalent atoms, fractional coordinates:
Ho1 0.0000 0.0000 0.0000 [16 per cell]  2 O 2.15
V1 0.0000 0.0000 0.5000 [16 per cell]  6 O 1.92
O1 0.0790 0.3750 0.8750 [48 per cell]  2 V 1.92
O2 0.1250 0.1250 0.1250 [8 per cell]  4 Ho 2.15

Volume = 975.0 Å³ per cell
Crystal system = cubic
N(E_F) = 64.948 states/eV per cell
Energy above the lowest structure with this stoichiometry = 0 meV/atom
Total moment = 2.0 μB per formula unit
Raw formation energy = -2.99 eV per atom

=====

This record from Alexandria describes CdFeTc after structural relaxation. The functional is GGA-PBEsol.

a = 4.3829 Å, b = 4.3829 Å, c = 2.6341 Å
α = 90.00°, β = 90.00°, γ = 120.00°
Last column: nearest neighbours and their distance in Å.
Space group P3m1 (No. 156)
Inequivalent atoms, fractional coordinates:
Cd1 0.0000 0.0000 0.0000 [1 per cell]  2 Cd 2.63, 3 Fe 2.70, 6 Tc 2.79-2.92
Fe1 0.6667 0.3333 0.3567 [1 per cell]  3 Tc 2.58, 2 Fe 2.63, 3 Cd 2.70
Tc1 0.3333 0.6667 0.5542 [1 per cell]  3 Fe 2.58, 2 Tc 2.63, 3 Cd 2.79

ΔE_f = 0.4776 eV/atom
Volume = 43.8 Å³ per cell
Crystal system = trigonal
N(E_F) = 2.934 states/eV per cell
Energy above the lowest structure with this stoichiometry = 248 meV/atom
Total moment = 2.5 μB per formula unit

=====

This record from Alexandria describes Be3CuN after structural relaxation. The functional is GGA-PBEsol.

a = 3.9135 Å, b = 3.9135 Å, c = 3.9135 Å
α = 90.00°, β = 90.00°, γ = 90.00°
Last column: nearest neighbours and their distance in Å.
Space group Pm-3m (No. 221)
Inequivalent atoms, fractional coordinates:
Be1 0.0000 0.0000 0.5000 [3 per cell]  2 Cu 1.96
Cu1 0.0000 0.0000 0.0000 [1 per cell]  6 Be 1.96
N1 0.5000 0.5000 0.5000 [1 per cell]  12 Be 2.77

Volume = 59.9 Å³ per cell
Crystal system = cubic
N(E_F) = 2.223 states/eV per cell
Total moment = 0.0 μB per formula unit
Raw formation energy = 1.57 eV per atom

=====

This record from Alexandria describes NiMo2P after structural relaxation. The functional is GGA-PBEsol.

a = 11.2042 Å, b = 8.4471 Å, c = 4.7419 Å
α = 90.00°, β = 113.84°, γ = 90.00°
Last column: nearest neighbours and their distance in Å.
Space group C2/m (No. 12)
Inequivalent atoms, fractional coordinates:
Ni1 0.1604 0.1486 0.4061 [8 per cell]  2 P 2.18-2.24
Mo1 0.0000 0.3390 0.0000 [4 per cell]  4 P 2.49-2.50, 2 Ni 2.59, 1 Mo 2.72
Mo2 0.0790 0.0000 0.8546 [4 per cell]  3 P 2.57-2.60, 3 Mo 2.65-2.75, 4 Ni 2.71-2.76
Mo3 0.1340 0.5000 0.6289 [4 per cell]  4 P 2.43-2.54, 2 Ni 2.69, 2 Mo 2.72
Mo4 0.2500 0.2500 0.0000 [4 per cell]  2 P 2.47, 4 Ni 2.65-2.72, 4 Mo 2.72-2.75
P1 0.0000 0.2467 0.5000 [4 per cell]  2 Ni 2.18
P2 0.2032 0.5000 0.2051 [4 per cell]  2 Ni 2.24, 5 Mo 2.43-2.49

ΔE_f = -0.4713 eV/atom
Volume = 410.5 Å³ per cell
Crystal system = monoclinic
N(E_F) = 21.160 states/eV per cell
Total moment = 0.0 μB per formula unit

=====

This record from Alexandria describes Y2ScAg after structural relaxation. The functional is GGA-PBEsol.

a = 3.4422 Å, b = 3.4422 Å, c = 8.4732 Å
α = 90.00°, β = 90.00°, γ = 90.00°
Last column: nearest neighbours and their distance in Å.
Space group P4mm (No. 99)
Inequivalent atoms, fractional coordinates:
Y1 0.0000 0.0000 0.0000 [1 per cell]  4 Sc 3.38, 8 Y 3.44-3.55
Y2 0.5000 0.5000 0.3053 [1 per cell]  4 Ag 3.14, 4 Y 3.44
Sc1 0.5000 0.5000 0.7234 [1 per cell]  4 Ag 2.89
Ag1 0.0000 0.0000 0.5400 [1 per cell]  4 Sc 2.89, 4 Y 3.14

ΔE_f = -0.1117 eV/atom
Volume = 100.4 Å³ per cell
Crystal system = tetragonal
N(E_F) = 6.353 states/eV per cell
Energy above the lowest structure with this stoichiometry = 17 meV/atom
Total moment = 0.0 μB per formula unit

=====

- volume of number 3 (CdFeTc)?
  43.8 Å³ per cell